LaCu3P | GGA-PBE | optimized geometry

D(E_F)   0.847 states/eV per atom
Energy relative to the lowest polymorph listed for this composition   0.0000 eV/atom
Formation enthalpy at 0 K   -0.28 eV per formula unit

Unit cell a=4.5135 b=4.5135 c=4.5135 alpha=90.00 beta=90.00 gamma=90.00
Closest atoms and distances in Å follow each position.
Fractional coordinates of all 5 atoms:
1 P 0.0000 0.0000 0.0000  6 Cu 2.26
2 Cu 0.5000 0.0000 0.0000  2 P 2.26
3 La 0.5000 0.5000 0.5000  12 Cu 3.19
4 Cu 0.0000 0.0000 0.5000  2 P 2.26
5 Cu 0.0000 0.5000 0.0000  2 P 2.26